Record 1
Here is an optimized crystal structure of TiSi3Pt from Alexandria via LeMat-Bulk. Energies are from GGA-PBE.

Summary:
calculated total energy	-5.30	eV per atom

Cell lengths 4.6892, 4.6892, 4.6892 Å; angles 90.00, 90.00, 90.00 degrees
Last column: nearest neighbours and their distance in Å.
Element x y z (fractional)
Ti: 0.0000 0.0000 0.0000  12 Si 3.32
Si: 0.0000 0.5000 0.5000  2 Pt 2.34
Si: 0.5000 0.0000 0.5000  2 Pt 2.34
Si: 0.5000 0.5000 0.0000  2 Pt 2.34
Pt: 0.5000 0.5000 0.5000  6 Si 2.34


Record 2
Here is an optimized crystal structure of Fe2TeP from Alexandria via LeMat-Bulk. Energies are from GGA-PBE.

Summary:
distance to the lowest polymorph of the same formula	0.000	eV per atom

Cell lengths 3.5178, 3.5178, 17.0052 Å; angles 90.00, 90.00, 120.00 degrees
Last column: nearest neighbours and their distance in Å.
Element x y z (fractional)
Fe: 0.0000 0.0000 0.2184  3 P 2.21
Fe: 0.0000 0.0000 0.7816  3 P 2.21
Fe: 0.3333 0.6667 0.4482  3 P 2.21
Fe: 0.3333 0.6667 0.8851  3 P 2.21
Fe: 0.6667 0.3333 0.1149  3 P 2.21
Fe: 0.6667 0.3333 0.5518  3 P 2.21
Te: 0.0000 0.0000 0.0000  6 Fe 2.82
Te: 0.3333 0.6667 0.6667  6 Fe 2.82
Te: 0.6667 0.3333 0.3333  6 Fe 2.82
P: 0.0000 0.0000 0.5000  6 Fe 2.21
P: 0.3333 0.6667 0.1667  6 Fe 2.21
P: 0.6667 0.3333 0.8333  6 Fe 2.21


Record 3
Here is an optimized crystal structure of Zr2CrOs from Alexandria via LeMat-Bulk. Energies are from GGA-PBE.

Summary:
formation energy from the elements	102.8	meV per atom

Cell lengths 3.2604, 4.8103, 8.7333 Å; angles 90.00, 90.00, 90.00 degrees
Last column: nearest neighbours and their distance in Å.
Element x y z (fractional)
Zr: 0.0000 0.0000 0.2431  2 Cr 2.68, 2 Os 2.77, 4 Zr 2.91
Zr: 0.0000 0.0000 0.7569  2 Cr 2.68, 2 Os 2.77, 4 Zr 2.91
Zr: 0.5000 0.5000 0.2569  2 Cr 2.68, 2 Os 2.77, 4 Zr 2.91
Zr: 0.5000 0.5000 0.7431  2 Cr 2.68, 2 Os 2.77, 4 Zr 2.91
Cr: 0.0000 0.5000 0.5000  4 Zr 2.68, 4 Os 2.91
Cr: 0.5000 0.0000 0.0000  4 Zr 2.68, 4 Os 2.91
Os: 0.0000 0.5000 0.0000  4 Zr 2.77, 4 Cr 2.91
Os: 0.5000 0.0000 0.5000  4 Zr 2.77, 4 Cr 2.91


Record 4
Here is an optimized crystal structure of Ac12MgPt6 from Alexandria via LeMat-Bulk. Energies are from GGA-PBE.

Summary:
formation energy from the elements	-730.3	meV per atom

Cell lengths 9.5358, 9.5358, 9.5358 Å; angles 109.47, 109.47, 109.47 degrees
Last column: nearest neighbours and their distance in Å.
Element x y z (fractional)
Ac: 0.1332 0.3117 0.8214  3 Pt 2.95-3.20
Ac: 0.1786 0.4903 0.3117  3 Pt 2.95-3.20
Ac: 0.1786 0.8668 0.6883  3 Pt 2.95-3.20
Ac: 0.3117 0.1786 0.4903  3 Pt 2.95-3.20
Ac: 0.3117 0.8214 0.1332  3 Pt 2.95-3.20
Ac: 0.4903 0.3117 0.1786  3 Pt 2.95-3.20
Ac: 0.5097 0.6883 0.8214  3 Pt 2.95-3.20
Ac: 0.6883 0.1786 0.8668  3 Pt 2.95-3.20
Ac: 0.6883 0.8214 0.5097  3 Pt 2.95-3.20
Ac: 0.8214 0.1332 0.3117  3 Pt 2.95-3.20
Ac: 0.8214 0.5097 0.6883  3 Pt 2.95-3.20
Ac: 0.8668 0.6883 0.1786  3 Pt 2.95-3.20
Mg: 0.0000 0.0000 0.0000  12 Ac 3.96
Pt: 0.1312 0.5000 0.6312  1 Pt 2.89, 6 Ac 2.95-3.20
Pt: 0.3688 0.8688 0.5000  1 Pt 2.89, 6 Ac 2.95-3.20
Pt: 0.5000 0.3688 0.8688  1 Pt 2.89, 6 Ac 2.95-3.20
Pt: 0.5000 0.6312 0.1312  1 Pt 2.89, 6 Ac 2.95-3.20
Pt: 0.6312 0.1312 0.5000  1 Pt 2.89, 6 Ac 2.95-3.20
Pt: 0.8688 0.5000 0.3688  1 Pt 2.89, 6 Ac 2.95-3.20


Record 5
Here is an optimized crystal structure of BaSnPbS3 from Alexandria via LeMat-Bulk. Energies are from GGA-PBE.

Summary:
calculated total energy	-4.62	eV per atom

Cell lengths 8.1527, 4.1978, 11.1105 Å; angles 90.00, 102.18, 90.00 degrees
Last column: nearest neighbours and their distance in Å.
Element x y z (fractional)
Ba: 0.2333 0.2500 0.2104  5 S 3.14-3.26
Ba: 0.7667 0.7500 0.7896  5 S 3.14-3.26
Sn: 0.3672 0.2500 0.9288  3 S 2.48-2.70
Sn: 0.6328 0.7500 0.0712  3 S 2.48-2.70
Pb: 0.1660 0.7500 0.6337  6 S 2.88-3.20
Pb: 0.8340 0.2500 0.3663  6 S 2.88-3.20
S: 0.0840 0.7500 0.3683  3 Pb 2.88-2.92, 2 Ba 3.14
S: 0.1576 0.7500 0.9201  2 Sn 2.70
S: 0.4538 0.2500 0.7278  1 Sn 2.48
S: 0.5462 0.7500 0.2722  1 Sn 2.48
S: 0.8424 0.2500 0.0799  2 Sn 2.70
S: 0.9160 0.2500 0.6317  3 Pb 2.88-2.92, 2 Ba 3.14


Record 6
Here is an optimized crystal structure of LiCoAs2Se from Alexandria via LeMat-Bulk. Energies are from GGA-PBE.

Summary:
distance to the lowest polymorph of the same formula	0.000	eV per atom

Cell lengths 4.4122, 4.4122, 5.4228 Å; angles 90.00, 90.00, 90.00 degrees
Last column: nearest neighbours and their distance in Å.
Element x y z (fractional)
Li: 0.0000 0.0000 0.0000  4 Se 3.12
Co: 0.5000 0.5000 0.5000  4 As 2.21
As: 0.0000 0.5000 0.5000  2 Co 2.21
As: 0.5000 0.0000 0.5000  2 Co 2.21
Se: 0.5000 0.5000 0.0000  2 Co 2.71


Record 7
Here is an optimized crystal structure of CdCo2Br from Alexandria via LeMat-Bulk. Energies are from GGA-PBE.

Summary:
distance to the lowest polymorph of the same formula	0.441	eV per atom

Cell lengths 6.8293, 6.8293, 6.2360 Å; angles 90.00, 90.00, 90.00 degrees
Last column: nearest neighbours and their distance in Å.
Element x y z (fractional)
Cd: 0.0000 0.0000 0.0000  4 Co 2.74
Cd: 0.0000 0.5000 0.2500  4 Co 2.74
Cd: 0.5000 0.0000 0.7500  4 Co 2.74
Cd: 0.5000 0.5000 0.5000  4 Co 2.74
Co: 0.2079 0.7500 0.6250  2 Br 2.35
Co: 0.2500 0.2079 0.3750  2 Br 2.35
Co: 0.2500 0.2921 0.8750  2 Br 2.35
Co: 0.2921 0.7500 0.1250  2 Br 2.35
Co: 0.7079 0.2500 0.1250  2 Br 2.35
Co: 0.7500 0.7079 0.8750  2 Br 2.35
Co: 0.7500 0.7921 0.3750  2 Br 2.35
Co: 0.7921 0.2500 0.6250  2 Br 2.35
Br: 0.0000 0.0000 0.5000  4 Co 2.35
Br: 0.0000 0.5000 0.7500  4 Co 2.35
Br: 0.5000 0.0000 0.2500  4 Co 2.35
Br: 0.5000 0.5000 0.0000  4 Co 2.35


Record 8
Here is an optimized crystal structure of PrFe2Si2 from Alexandria via LeMat-Bulk. Energies are from GGA-PBE.

Summary:
calculated total energy	-7.12	eV per atom

Cell lengths 4.0298, 4.0298, 9.8120 Å; angles 90.00, 90.00, 90.00 degrees
Last column: nearest neighbours and their distance in Å.
Element x y z (fractional)
Pr: 0.0000 0.0000 0.0000  10 Si 3.17-3.52, 8 Fe 3.17
Pr: 0.5000 0.5000 0.5000  10 Si 3.17-3.52, 8 Fe 3.17
Fe: 0.0000 0.5000 0.2500  4 Si 2.28
Fe: 0.0000 0.5000 0.7500  4 Si 2.28
Fe: 0.5000 0.0000 0.2500  4 Si 2.28
Fe: 0.5000 0.0000 0.7500  4 Si 2.28
Si: 0.0000 0.0000 0.3589  4 Fe 2.28
Si: 0.0000 0.0000 0.6411  4 Fe 2.28
Si: 0.5000 0.5000 0.1411  4 Fe 2.28
Si: 0.5000 0.5000 0.8589  4 Fe 2.28


Record 9
Here is an optimized crystal structure of Rb2Ta2W from Alexandria via LeMat-Bulk. Energies are from GGA-PBE.

Summary:
distance to the lowest polymorph of the same formula	0.000	eV per atom
formation energy from the elements	2067.6	meV per atom

Cell lengths 3.5833, 3.5833, 25.8032 Å; angles 90.00, 90.00, 90.00 degrees
Last column: nearest neighbours and their distance in Å.
Element x y z (fractional)
Rb: 0.0000 0.0000 0.1095  4 Rb 3.58, 4 W 3.79
Rb: 0.0000 0.0000 0.8905  4 Rb 3.58, 4 W 3.79
Rb: 0.5000 0.5000 0.3905  4 Rb 3.58, 4 W 3.79
Rb: 0.5000 0.5000 0.6095  4 Rb 3.58, 4 W 3.79
Ta: 0.0000 0.5000 0.2500  4 Ta 2.53
Ta: 0.0000 0.5000 0.7500  4 Ta 2.53
Ta: 0.5000 0.0000 0.2500  4 Ta 2.53
Ta: 0.5000 0.0000 0.7500  4 Ta 2.53
W: 0.0000 0.0000 0.5000  4 W 3.58, 8 Rb 3.79
W: 0.5000 0.5000 0.0000  4 W 3.58, 8 Rb 3.79


Record 10
Here is an optimized crystal structure of MgNiAs2 from Alexandria via LeMat-Bulk. Energies are from GGA-PBE.

Summary:
formation energy from the elements	-190.5	meV per atom

Cell lengths 4.1189, 3.6909, 5.0244 Å; angles 90.00, 103.22, 90.00 degrees
Last column: nearest neighbours and their distance in Å.
Element x y z (fractional)
Mg: 0.0000 0.0000 0.0000  4 As 2.82, 2 Ni 2.86
Ni: 0.5000 0.0000 0.5000  4 As 2.37
As: 0.2630 0.5000 0.6818  2 Ni 2.37, 1 As 2.49
As: 0.7370 0.5000 0.3182  2 Ni 2.37, 1 As 2.49